Record 1
This record from the Alexandria database describes crystalline U2In3Sn3 at its relaxed geometry. The functional is PBE.

The structure in extended XYZ format:
```
8
Lattice="4.6439 0.0000 0.0000 0.0000 4.7750 0.0000 0.0000 0.0000 8.9504" Properties=species:S:1:pos:R:3 pbc="T T T"
U 0.0000 0.0000 2.1938
U 0.0000 0.0000 6.7566
In 0.0000 2.3875 4.4752
In 2.3220 2.3875 2.2640
In 2.3220 2.3875 6.6864
Sn 0.0000 2.3875 0.0000
Sn 2.3220 0.0000 0.0000
Sn 2.3220 0.0000 4.4752
```

Results
- spin magnetization (μB per cell) = 4.86
- calculated formation energy (eV/atom) = -0.09
- symmetry = Pmmm

=====

Record 2
This record from the Alexandria database describes crystalline UInSn2 at its relaxed geometry. The functional is PBE.

The structure in extended XYZ format:
```
4
Lattice="3.9470 0.0000 0.0000 0.0000 3.9470 0.0000 0.0000 0.0000 6.6302" Properties=species:S:1:pos:R:3 pbc="T T T"
U 0.0000 0.0000 0.0000
In 0.0000 0.0000 3.3151
Sn 1.9735 1.9735 1.7150
Sn 1.9735 1.9735 4.9152
```

Results
- spin magnetization (μB per cell) = 3.05
- calculated formation energy (eV/atom) = 0.06
- excess energy over the best structure of this formula in the dataset (meV/atom) = 169
- symmetry = P4/mmm

=====

Record 3
This record from the Alexandria database describes crystalline UInSn2 at its relaxed geometry. The functional is PBE.

The structure in extended XYZ format:
```
4
Lattice="4.7417 0.0000 0.0000 0.0000 4.7417 0.0000 0.0000 0.0000 4.4077" Properties=species:S:1:pos:R:3 pbc="T T T"
U 0.0000 0.0000 0.0000
In 2.3708 2.3708 0.0000
Sn 0.0000 2.3708 2.2039
Sn 2.3708 0.0000 2.2039
```

Results
- spin magnetization (μB per cell) = 2.30
- calculated formation energy (eV/atom) = -0.11
- excess energy over the best structure of this formula in the dataset (meV/atom) = 0
- symmetry = P4/mmm

=====

Record 4
This record from the Alexandria database describes crystalline U2InSn9 at its relaxed geometry. The functional is PBE.

The structure in extended XYZ format:
```
12
Lattice="4.6168 0.0000 0.0000 0.0000 4.6168 0.0000 0.0000 0.0000 14.5957" Properties=species:S:1:pos:R:3 pbc="T T T"
U 0.0000 0.0000 2.2613
U 0.0000 0.0000 12.3344
In 0.0000 0.0000 7.2979
Sn 0.0000 2.3084 0.0000
Sn 0.0000 2.3084 4.7451
Sn 0.0000 2.3084 9.8506
Sn 2.3084 0.0000 0.0000
Sn 2.3084 0.0000 4.7451
Sn 2.3084 0.0000 9.8506
Sn 2.3084 2.3084 2.3711
Sn 2.3084 2.3084 7.2979
Sn 2.3084 2.3084 12.2246
```

Results
- spin magnetization (μB per cell) = 5.05
- calculated formation energy (eV/atom) = -0.04
- symmetry = P4/mmm

=====

Record 5
This record from the Alexandria database describes crystalline UInSn2 at its relaxed geometry. The functional is PBE.

The structure in extended XYZ format:
```
12
Lattice="4.5323 0.0000 0.0000 -2.2662 3.9251 0.0000 0.0000 0.0000 19.7850" Properties=species:S:1:pos:R:3 pbc="T T T"
U 0.0000 0.0000 0.0000
U 0.0000 2.6167 13.1900
U 2.2662 1.3084 6.5950
In 0.0000 0.0000 3.4014
In 0.0000 2.6167 16.5914
In 2.2662 1.3084 9.9964
Sn 0.0000 0.0000 8.2872
Sn 0.0000 0.0000 11.4970
Sn 0.0000 2.6167 1.6922
Sn 0.0000 2.6167 4.9020
Sn 2.2662 1.3084 14.8823
Sn 2.2662 1.3084 18.0920
```

Results
- spin magnetization (μB per cell) = 8.71
- calculated formation energy (eV/atom) = 0.27
- excess energy over the best structure of this formula in the dataset (meV/atom) = 378
- symmetry = R3m

=====

Record 6
This record from the Alexandria database describes crystalline VInSn2 at its relaxed geometry. The functional is PBE.

The structure in extended XYZ format:
```
16
Lattice="4.3665 0.0000 0.0000 0.0000 4.3665 0.0000 0.0000 0.0000 20.5235" Properties=species:S:1:pos:R:3 pbc="T T T"
V 0.0000 0.0000 0.0000
V 0.0000 2.1833 5.1309
V 2.1833 0.0000 15.3926
V 2.1833 2.1833 10.2618
In 0.0000 0.0000 10.2618
In 0.0000 2.1833 15.3926
In 2.1833 0.0000 5.1309
In 2.1833 2.1833 0.0000
Sn 1.0388 1.0916 2.5654
Sn 1.0916 3.2221 7.6963
Sn 1.0916 3.3277 17.9581
Sn 1.1445 1.0916 12.8272
Sn 3.2221 3.2749 12.8272
Sn 3.2749 1.0388 17.9581
Sn 3.2749 1.1445 7.6963
Sn 3.3277 3.2749 2.5654
```

Results
- spin magnetization (μB per cell) = 11.13
- calculated formation energy (eV/atom) = 0.38
- symmetry = I-42d

=====

Record 7
This record from the Alexandria database describes crystalline V2InSn at its relaxed geometry. The functional is PBE.

The structure in extended XYZ format:
```
16
Lattice="7.3484 0.0000 0.0000 0.0000 7.3484 0.0000 0.0000 0.0000 5.7712" Properties=species:S:1:pos:R:3 pbc="T T T"
V 1.7986 1.8371 0.7214
V 1.8371 5.4728 2.1642
V 1.8371 5.5498 5.0498
V 1.8756 1.8371 3.6070
V 5.4728 5.5113 3.6070
V 5.5113 1.7986 5.0498
V 5.5113 1.8756 2.1642
V 5.5498 5.5113 0.7214
In 0.0000 0.0000 2.8856
In 0.0000 3.6742 4.3284
In 3.6742 0.0000 1.4428
In 3.6742 3.6742 0.0000
Sn 0.0000 0.0000 0.0000
Sn 0.0000 3.6742 1.4428
Sn 3.6742 0.0000 4.3284
Sn 3.6742 3.6742 2.8856
```

Results
- spin magnetization (μB per cell) = 1.46
- calculated formation energy (eV/atom) = 0.64
- symmetry = I-42d

=====

Record 8
This record from the Alexandria database describes crystalline VInSn2 at its relaxed geometry. The functional is PBE.

The structure in extended XYZ format:
```
12
Lattice="3.2194 0.0000 0.0000 -1.6097 2.7881 0.0000 0.0000 0.0000 30.6082" Properties=species:S:1:pos:R:3 pbc="T T T"
V 0.0000 0.0000 0.0000
V 0.0000 1.8587 20.4055
V 1.6097 0.9294 10.2027
In 0.0000 0.0000 15.3041
In 0.0000 1.8587 5.1014
In 1.6097 0.9294 25.5068
Sn 0.0000 0.0000 12.3123
Sn 0.0000 0.0000 18.2959
Sn 0.0000 1.8587 2.1095
Sn 0.0000 1.8587 8.0932
Sn 1.6097 0.9294 22.5150
Sn 1.6097 0.9294 28.4986
```

Results
- spin magnetization (μB per cell) = 3.32
- calculated formation energy (eV/atom) = 0.16
- symmetry = R-3m

=====

Record 9
This record from the Alexandria database describes crystalline V2InSn at its relaxed geometry. The functional is PBE.

The structure in extended XYZ format:
```
4
Lattice="4.1307 0.0000 0.0000 0.0000 4.1307 0.0000 0.0000 0.0000 4.1495" Properties=species:S:1:pos:R:3 pbc="T T T"
V 0.0000 2.0654 0.0000
V 2.0654 0.0000 0.0000
In 0.0000 0.0000 2.0747
Sn 2.0654 2.0654 2.0747
```

Results
- spin magnetization (μB per cell) = 0.94
- calculated formation energy (eV/atom) = 0.31
- symmetry = P4/mmm

=====

Record 10
This record from the Alexandria database describes crystalline VIn3Sn at its relaxed geometry. The functional is PBE.

The structure in extended XYZ format:
```
5
Lattice="5.6151 0.0000 0.0000 0.0000 5.6151 0.0000 0.0000 0.0000 5.6151" Properties=species:S:1:pos:R:3 pbc="T T T"
V 0.0000 0.0000 0.0000
In 0.0000 2.8076 2.8076
In 2.8076 0.0000 2.8076
In 2.8076 2.8076 0.0000
Sn 2.8076 2.8076 2.8076
```

Results
- spin magnetization (μB per cell) = 3.90
- calculated formation energy (eV/atom) = 1.02
- excess energy over the best structure of this formula in the dataset (meV/atom) = 506
- symmetry = Pm-3m

=====

Record 11
This record from the Alexandria database describes crystalline VIn2Sn at its relaxed geometry. The functional is PBE.

The structure in extended XYZ format:
```
12
Lattice="3.1071 0.0000 0.0000 -1.5535 2.6908 0.0000 0.0000 0.0000 34.6283" Properties=species:S:1:pos:R:3 pbc="T T T"
V 0.0000 0.0000 0.0000
V 0.0000 1.7939 23.0856
V 1.5535 0.8969 11.5428
In 0.0000 0.0000 2.7540
In 0.0000 0.0000 31.8743
In 0.0000 1.7939 20.3315
In 0.0000 1.7939 25.8396
In 1.5535 0.8969 8.7888
In 1.5535 0.8969 14.2968
Sn 0.0000 0.0000 17.3142
Sn 0.0000 1.7939 5.7714
Sn 1.5535 0.8969 28.8569
```

Results
- spin magnetization (μB per cell) = 1.92
- calculated formation energy (eV/atom) = 0.62
- symmetry = R-3m

=====

Record 12
This record from the Alexandria database describes crystalline VInSn at its relaxed geometry. The functional is PBE.

The structure in extended XYZ format:
```
12
Lattice="2.9135 -5.9968 0.0000 2.9135 5.9968 0.0000 0.0000 0.0000 7.3991" Properties=species:S:1:pos:R:3 pbc="T T T"
V 2.9135 4.8858 6.8912
V 2.9135 1.1111 3.1916
V 2.9135 -1.1111 4.2075
V 2.9135 -4.8858 0.5079
In 1.4567 0.8715 5.5493
In 1.4567 -0.8715 1.8498
In 4.3702 0.8715 5.5493
In 4.3702 -0.8715 1.8498
Sn 2.9135 3.7620 4.3315
Sn 2.9135 2.2348 0.6320
Sn 2.9135 -2.2348 6.7671
Sn 2.9135 -3.7620 3.0676
```

Results
- spin magnetization (μB per cell) = 0.00
- calculated formation energy (eV/atom) = 0.23
- excess energy over the best structure of this formula in the dataset (meV/atom) = 0
- symmetry = Cmce

=====

Record 13
This record from the Alexandria database describes crystalline V3InSn at its relaxed geometry. The functional is PBE.

The structure in extended XYZ format:
```
5
Lattice="4.9409 0.0000 0.0000 0.0000 4.9409 0.0000 0.0000 0.0000 4.9409" Properties=species:S:1:pos:R:3 pbc="T T T"
V 0.0000 0.0000 2.4705
V 0.0000 2.4705 0.0000
V 2.4705 0.0000 0.0000
In 2.4705 2.4705 2.4705
Sn 0.0000 0.0000 0.0000
```

Results
- spin magnetization (μB per cell) = 6.03
- calculated formation energy (eV/atom) = 1.33
- excess energy over the best structure of this formula in the dataset (meV/atom) = 0
- symmetry = Pm-3m

=====

Record 14
This record from the Alexandria database describes crystalline VIn2Sn at its relaxed geometry. The functional is PBE.

The structure in extended XYZ format:
```
16
Lattice="8.3100 0.0000 0.0000 0.0000 8.3100 0.0000 0.0000 0.0000 5.7154" Properties=species:S:1:pos:R:3 pbc="T T T"
V 0.0000 0.0000 0.0000
V 0.0000 4.1550 1.4289
V 4.1550 0.0000 4.2866
V 4.1550 4.1550 2.8577
In 1.8475 2.0775 0.7144
In 2.0775 6.0025 2.1433
In 2.0775 6.4625 5.0010
In 2.3075 2.0775 3.5721
In 6.0025 6.2325 3.5721
In 6.2325 1.8475 5.0010
In 6.2325 2.3075 2.1433
In 6.4625 6.2325 0.7144
Sn 0.0000 0.0000 2.8577
Sn 0.0000 4.1550 4.2866
Sn 4.1550 0.0000 1.4289
Sn 4.1550 4.1550 0.0000
```

Results
- spin magnetization (μB per cell) = 10.42
- calculated formation energy (eV/atom) = 0.45
- symmetry = I-42d

=====

Record 15
This record from the Alexandria database describes crystalline VInSn at its relaxed geometry. The functional is PBE.

The structure in extended XYZ format:
```
3
Lattice="4.7161 0.0000 0.0000 -2.3581 4.0843 0.0000 0.0000 0.0000 3.4586" Properties=species:S:1:pos:R:3 pbc="T T T"
V 0.0000 0.0000 0.0000
In 2.3581 1.3614 2.2296
Sn 0.0000 2.7229 0.7965
```

Results
- spin magnetization (μB per cell) = 2.76
- calculated formation energy (eV/atom) = 0.43
- excess energy over the best structure of this formula in the dataset (meV/atom) = 202
- symmetry = P3m1

=====

Record 16
This record from the Alexandria database describes crystalline VInSn4 at its relaxed geometry. The functional is PBE.

The structure in extended XYZ format:
```
12
Lattice="7.0528 0.0000 0.0000 0.0000 7.0528 0.0000 0.0000 0.0000 5.8473" Properties=species:S:1:pos:R:3 pbc="T T T"
V 0.0000 0.0000 1.4618
V 0.0000 0.0000 4.3855
In 3.5264 3.5264 1.4618
In 3.5264 3.5264 4.3855
Sn 0.8137 2.2649 0.0000
Sn 0.8137 4.7879 2.9237
Sn 2.2649 0.8137 2.9237
Sn 2.2649 6.2391 0.0000
Sn 4.7879 0.8137 0.0000
Sn 4.7879 6.2391 2.9237
Sn 6.2391 2.2649 2.9237
Sn 6.2391 4.7879 0.0000
```

Results
- spin magnetization (μB per cell) = 0.00
- calculated formation energy (eV/atom) = 0.03
- symmetry = P4/mcc

=====

Record 17
This record from the Alexandria database describes crystalline VInSn at its relaxed geometry. The functional is PBE.

The structure in extended XYZ format:
```
6
Lattice="3.5354 0.0000 0.0000 0.0000 3.5354 0.0000 0.0000 0.0000 9.9117" Properties=species:S:1:pos:R:3 pbc="T T T"
V 0.0000 0.0000 0.0000
V 1.7677 1.7677 4.9559
In 0.0000 0.0000 3.3697
In 1.7677 1.7677 8.3255
Sn 0.0000 0.0000 6.4201
Sn 1.7677 1.7677 1.4642
```

Results
- spin magnetization (μB per cell) = 4.02
- calculated formation energy (eV/atom) = 0.26
- excess energy over the best structure of this formula in the dataset (meV/atom) = 33
- symmetry = I4mm

=====

Record 18
This record from the Alexandria database describes crystalline VIn3Sn at its relaxed geometry. The functional is PBE.

The structure in extended XYZ format:
```
5
Lattice="5.2059 0.0000 0.0000 0.0000 5.2059 0.0000 0.0000 0.0000 5.2059" Properties=species:S:1:pos:R:3 pbc="T T T"
V 0.0000 0.0000 0.0000
In 0.0000 0.0000 2.6029
In 0.0000 2.6029 0.0000
In 2.6029 0.0000 0.0000
Sn 2.6029 2.6029 2.6029
```

Results
- spin magnetization (μB per cell) = 0.01
- calculated formation energy (eV/atom) = 0.51
- excess energy over the best structure of this formula in the dataset (meV/atom) = 0
- symmetry = Pm-3m

=====

Record 19
This record from the Alexandria database describes crystalline In3SnW at its relaxed geometry. The functional is PBE.

The structure in extended XYZ format:
```
5
Lattice="5.5702 0.0000 0.0000 0.0000 5.5702 0.0000 0.0000 0.0000 5.5702" Properties=species:S:1:pos:R:3 pbc="T T T"
In 0.0000 0.0000 2.7851
In 0.0000 2.7851 0.0000
In 2.7851 0.0000 0.0000
Sn 0.0000 0.0000 0.0000
W 2.7851 2.7851 2.7851
```

Results
- spin magnetization (μB per cell) = 4.24
- calculated formation energy (eV/atom) = 1.61
- excess energy over the best structure of this formula in the dataset (meV/atom) = 866
- symmetry = Pm-3m

=====

Record 20
This record from the Alexandria database describes crystalline In3SnW at its relaxed geometry. The functional is PBE.

The structure in extended XYZ format:
```
5
Lattice="5.3123 0.0000 0.0000 0.0000 5.3123 0.0000 0.0000 0.0000 5.3123" Properties=species:S:1:pos:R:3 pbc="T T T"
In 0.0000 0.0000 2.6562
In 0.0000 2.6562 0.0000
In 2.6562 0.0000 0.0000
Sn 2.6562 2.6562 2.6562
W 0.0000 0.0000 0.0000
```

Results
- spin magnetization (μB per cell) = 0.33
- calculated formation energy (eV/atom) = 0.75
- excess energy over the best structure of this formula in the dataset (meV/atom) = 0
- symmetry = Pm-3m